1.
A geometry-optimized Ac3GaH structure. Source: Alexandria via LeMat-Bulk, functional PBE.

Summary:
- SG = P2_1/c
- electronic total energy (eV per cell) = -79.486

Cell and atoms, written as POSCAR:
```
Ac3GaH
1.0
-6.8009 -1.6722 -0.1884
1.5417 -5.8013 -4.1620
1.1187 -5.7198 10.3857
Ac H Ga
12 4 4
direct
0.8603 0.3914 0.3774
0.0414 0.2227 0.0796
0.5414 0.7773 0.4204
0.5523 0.0820 0.1607
0.9586 0.7773 0.9204
0.1397 0.6086 0.6226
0.3603 0.6086 0.1226
0.6397 0.3914 0.8774
0.9477 0.0820 0.6607
0.4477 0.9180 0.8393
0.0523 0.9180 0.3393
0.4586 0.2227 0.5796
0.2660 0.9216 0.0295
0.2340 0.9216 0.5295
0.7660 0.0784 0.4705
0.7340 0.0784 0.9705
0.3211 0.3695 0.3434
0.1789 0.3695 0.8434
0.6789 0.6305 0.6566
0.8211 0.6305 0.1566
```

2.
A geometry-optimized AcGaH6 structure. Source: Alexandria via LeMat-Bulk, functional PBE.

Summary:
- SG = R-3m
- electronic total energy (eV per cell) = -28.972

Cell and atoms, written as POSCAR:
```
AcGaH6
1.0
-3.2939 2.9340 -0.4721
0.3913 -1.2203 -4.2473
-2.4111 -3.4459 1.4383
H Ac Ga
6 1 1
direct
0.2879 0.2879 0.9375
0.7125 0.0633 0.7126
0.2875 0.9367 0.2874
0.9367 0.2875 0.2874
0.0633 0.7125 0.7126
0.7121 0.7121 0.0625
0.5000 0.5000 0.5000
0.0000 0.0000 0.0000
```

3.
A geometry-optimized Ac3GaH structure. Source: Alexandria via LeMat-Bulk, functional PBE.

Summary:
- SG = Pm-3m
- electronic total energy (eV per cell) = -19.530

Cell and atoms, written as POSCAR:
```
Ac3GaH
1.0
-4.0879 -3.2850 -0.5904
1.3675 -2.5000 4.4419
-3.0447 3.2878 2.7877
Ac Ga H
3 1 1
direct
0.5000 0.0000 0.0000
0.0000 0.0000 0.5000
0.0000 0.5000 0.0000
0.5000 0.5000 0.5000
0.0000 0.0000 0.0000
```

Look up the electronic total energy of the second one. -28.972 eV per cell

Among the records above, which one has the lowest electronic total energy? number 1

The lowest electronic total energy belongs to which entry? number 1

Which of these has the highest electronic total energy? number 3